No. 1
Below is KLaBi2F after structural relaxation, with properties calculated at the PBE level.

Total magnetization ... 0.00 Bohr magnetons per cell
DFT total energy ... -0.1514 hartree per atom

The structure in CIF format:
```
data_KLaBi2F
_cell_length_a 5.482
_cell_length_b 5.482
_cell_length_c 4.781
_cell_angle_alpha 90.00
_cell_angle_beta 90.00
_cell_angle_gamma 90.00
_space_group_name_H-M_alt 'P 1'
_space_group_IT_number 1
_space_group_name_Hall 'P 1'
loop_
_atom_site_label
_atom_site_type_symbol
_atom_site_fract_x
_atom_site_fract_y
_atom_site_fract_z
K1 K 0.000 0.000 0.000
La1 La 0.500 0.500 0.000
Bi1 Bi 0.000 0.500 0.500
Bi2 Bi 0.500 0.000 0.500
F1 F 0.000 0.000 0.500
```

***

No. 2
Below is K2LiBiF6 after structural relaxation, with properties calculated at the PBE level.

Total magnetization ... 0.00 Bohr magnetons per cell
Energy above the lowest structure with this stoichiometry ... 0.010 eV/atom

The structure in CIF format:
```
data_K2LiBiF6
_cell_length_a 6.153
_cell_length_b 6.153
_cell_length_c 6.153
_cell_angle_alpha 60.00
_cell_angle_beta 60.00
_cell_angle_gamma 60.00
_space_group_name_H-M_alt 'P 1'
_space_group_IT_number 1
_space_group_name_Hall 'P 1'
loop_
_atom_site_label
_atom_site_type_symbol
_atom_site_fract_x
_atom_site_fract_y
_atom_site_fract_z
K1 K 0.250 0.250 0.250
K2 K 0.750 0.750 0.750
Li1 Li 0.000 0.000 0.000
Bi1 Bi 0.500 0.500 0.500
F1 F 0.240 0.240 0.760
F2 F 0.240 0.760 0.240
F3 F 0.240 0.760 0.760
F4 F 0.760 0.240 0.240
F5 F 0.760 0.240 0.760
F6 F 0.760 0.760 0.240
```

***

No. 3
Below is K2LiBiF6 after structural relaxation, with properties calculated at the PBE level.

Total magnetization ... 0.00 Bohr magnetons per cell
Energy above the lowest structure with this stoichiometry ... 0.000 eV/atom

The structure in CIF format:
```
data_K2LiBiF6
_cell_length_a 6.120
_cell_length_b 6.154
_cell_length_c 10.584
_cell_angle_alpha 90.00
_cell_angle_beta 125.01
_cell_angle_gamma 90.00
_space_group_name_H-M_alt 'P 1'
_space_group_IT_number 1
_space_group_name_Hall 'P 1'
loop_
_atom_site_label
_atom_site_type_symbol
_atom_site_fract_x
_atom_site_fract_y
_atom_site_fract_z
K1 K 0.243 0.030 0.249
K2 K 0.243 0.470 0.749
K3 K 0.757 0.530 0.251
K4 K 0.757 0.970 0.751
Li1 Li 0.000 0.000 0.500
Li2 Li 0.000 0.500 0.000
Bi1 Bi 0.500 0.000 0.000
Bi2 Bi 0.500 0.500 0.500
F1 F 0.172 0.221 0.967
F2 F 0.172 0.279 0.467
F3 F 0.245 0.706 0.967
F4 F 0.245 0.794 0.467
F5 F 0.305 0.015 0.741
F6 F 0.305 0.485 0.241
F7 F 0.695 0.515 0.759
F8 F 0.695 0.985 0.259
F9 F 0.755 0.206 0.533
F10 F 0.755 0.294 0.033
F11 F 0.828 0.721 0.533
F12 F 0.828 0.779 0.033
```

***

No. 4
Below is K2LiBiF after structural relaxation, with properties calculated at the PBE level.

Total magnetization ... 0.00 Bohr magnetons per cell
DFT total energy ... -0.1181 hartree per atom

The structure in CIF format:
```
data_K2LiBiF
_cell_length_a 6.107
_cell_length_b 6.107
_cell_length_c 3.789
_cell_angle_alpha 90.00
_cell_angle_beta 90.00
_cell_angle_gamma 90.00
_space_group_name_H-M_alt 'P 1'
_space_group_IT_number 1
_space_group_name_Hall 'P 1'
loop_
_atom_site_label
_atom_site_type_symbol
_atom_site_fract_x
_atom_site_fract_y
_atom_site_fract_z
K1 K 0.000 0.500 0.000
K2 K 0.500 0.000 0.000
Li1 Li 0.000 0.000 0.500
Bi1 Bi 0.500 0.500 0.500
F1 F 0.000 0.000 0.000
```

***

No. 5
Below is K2MgBiF6 after structural relaxation, with properties calculated at the PBE level.

Total magnetization ... 2.02 Bohr magnetons per cell
DFT total energy ... -0.1680 hartree per atom

The structure in CIF format:
```
data_K2MgBiF6
_cell_length_a 5.782
_cell_length_b 8.583
_cell_length_c 6.945
_cell_angle_alpha 90.00
_cell_angle_beta 90.00
_cell_angle_gamma 90.00
_space_group_name_H-M_alt 'P 1'
_space_group_IT_number 1
_space_group_name_Hall 'P 1'
loop_
_atom_site_label
_atom_site_type_symbol
_atom_site_fract_x
_atom_site_fract_y
_atom_site_fract_z
K1 K 0.250 0.021 0.195
K2 K 0.250 0.479 0.195
K3 K 0.750 0.521 0.805
K4 K 0.750 0.979 0.805
Mg1 Mg 0.250 0.750 0.777
Mg2 Mg 0.750 0.250 0.223
Bi1 Bi 0.250 0.250 0.710
Bi2 Bi 0.750 0.750 0.290
F1 F 0.004 0.750 0.988
F2 F 0.012 0.250 0.411
F3 F 0.250 0.512 0.784
F4 F 0.250 0.988 0.784
F5 F 0.488 0.250 0.411
F6 F 0.496 0.750 0.988
F7 F 0.504 0.250 0.012
F8 F 0.512 0.750 0.589
F9 F 0.750 0.012 0.216
F10 F 0.750 0.488 0.216
F11 F 0.988 0.750 0.589
F12 F 0.996 0.250 0.012
```

***

No. 6
Below is K2Mg3BiF12 after structural relaxation, with properties calculated at the PBE level.

Total magnetization ... 1.04 Bohr magnetons per cell
DFT total energy ... -0.1763 hartree per atom

The structure in CIF format:
```
data_K2Mg3BiF12
_cell_length_a 7.641
_cell_length_b 7.641
_cell_length_c 7.641
_cell_angle_alpha 57.89
_cell_angle_beta 57.89
_cell_angle_gamma 57.89
_space_group_name_H-M_alt 'P 1'
_space_group_IT_number 1
_space_group_name_Hall 'P 1'
loop_
_atom_site_label
_atom_site_type_symbol
_atom_site_fract_x
_atom_site_fract_y
_atom_site_fract_z
K1 K 0.089 0.089 0.089
K2 K 0.911 0.911 0.911
Mg1 Mg 0.000 0.500 0.500
Mg2 Mg 0.500 0.000 0.500
Mg3 Mg 0.500 0.500 0.000
Bi1 Bi 0.500 0.500 0.500
F1 F 0.149 0.589 0.589
F2 F 0.193 0.193 0.584
F3 F 0.193 0.584 0.193
F4 F 0.411 0.411 0.851
F5 F 0.411 0.851 0.411
F6 F 0.416 0.807 0.807
F7 F 0.584 0.193 0.193
F8 F 0.589 0.149 0.589
F9 F 0.589 0.589 0.149
F10 F 0.807 0.416 0.807
F11 F 0.807 0.807 0.416
F12 F 0.851 0.411 0.411
```

***

Q: Number 6 is which compound?
A: K2Mg3BiF12

***

Q: total magnetization of number 1 (KLaBi2F)?
A: 0.00 Bohr magnetons per cell

***

Q: Among the records above, which one has the highest total magnetization?
A: K2MgBiF6

***

Copy entry 1 word for word.
Below is KLaBi2F after structural relaxation, with properties calculated at the PBE level.

Total magnetization ... 0.00 Bohr magnetons per cell
DFT total energy ... -0.1514 hartree per atom

The structure in CIF format:
```
data_KLaBi2F
_cell_length_a 5.482
_cell_length_b 5.482
_cell_length_c 4.781
_cell_angle_alpha 90.00
_cell_angle_beta 90.00
_cell_angle_gamma 90.00
_space_group_name_H-M_alt 'P 1'
_space_group_IT_number 1
_space_group_name_Hall 'P 1'
loop_
_atom_site_label
_atom_site_type_symbol
_atom_site_fract_x
_atom_site_fract_y
_atom_site_fract_z
K1 K 0.000 0.000 0.000
La1 La 0.500 0.500 0.000
Bi1 Bi 0.000 0.500 0.500
Bi2 Bi 0.500 0.000 0.500
F1 F 0.000 0.000 0.500
```